Material: Tb3DyEr2
Method: DFT, GGA-PBE
State: optimized geometry

## Properties
DFT total energy = -108.78 eV/cell
size of the total moment = 0.0 μB/f.u.
crystal system = monoclinic
formation energy from the elements = 71 meV per atom
excess energy over the best structure of this formula in the dataset = 0.438 eV per formula unit

The structure in CIF format:
```
data_Tb3DyEr2
_cell_length_a 16.8487
_cell_length_b 5.6012
_cell_length_c 9.6378
_cell_angle_alpha 90.00
_cell_angle_beta 124.84
_cell_angle_gamma 90.00
_space_group_name_H-M_alt 'C 1 2/m 1'
_space_group_IT_number 12
loop_
_space_group_symop_operation_xyz
'x,y,z'
'-x,-y,-z'
'-x,y,-z'
'x,-y,z'
'x+1/2,y+1/2,z'
'-x+1/2,-y+1/2,-z'
'-x+1/2,y+1/2,-z'
'x+1/2,-y+1/2,z'
loop_
_atom_site_label
_atom_site_fract_x
_atom_site_fract_y
_atom_site_fract_z
Tb1 0.9998 0.0000 0.1671
Tb2 0.1251 0.5000 0.1281
Tb3 0.2503 0.0000 0.0800
Dy1 0.1249 0.0000 0.6220
Er1 0.9998 0.5000 0.3335
Er2 0.2504 0.0000 0.4145
```

Material: CaIn2Pt
Method: DFT, GGA-PBE
State: optimized geometry

## Properties
DFT total energy = -15.39 eV/cell
size of the total moment = 0.0 μB/f.u.
crystal system = tetragonal
formation energy from the elements = -468 meV per atom

The structure in CIF format:
```
data_CaIn2Pt
_cell_length_a 3.4392
_cell_length_b 3.4392
_cell_length_c 7.6976
_cell_angle_alpha 90.00
_cell_angle_beta 90.00
_cell_angle_gamma 90.00
_space_group_name_H-M_alt 'P 4/m m m'
_space_group_IT_number 123
_space_group_name_Hall '-P 4 2'
loop_
_atom_site_label
_atom_site_fract_x
_atom_site_fract_y
_atom_site_fract_z
Ca1 0.0000 0.0000 0.0000
In1 0.5000 0.5000 0.2980
Pt1 0.0000 0.0000 0.5000
```

Material: Rb2MgIr2
Method: DFT, GGA-PBE
State: optimized geometry

## Properties
DFT total energy = -30.29 eV/cell
size of the total moment = 2.8 μB/f.u.
crystal system = tetragonal
formation energy from the elements = 1221 meV per atom
excess energy over the best structure of this formula in the dataset = 3.047 eV per formula unit

The structure in CIF format:
```
data_Rb2MgIr2
_cell_length_a 4.3859
_cell_length_b 4.3859
_cell_length_c 14.9289
_cell_angle_alpha 90.00
_cell_angle_beta 90.00
_cell_angle_gamma 90.00
_space_group_name_H-M_alt 'I 4/m m m'
_space_group_IT_number 139
_space_group_name_Hall '-I 4 2'
loop_
_atom_site_label
_atom_site_fract_x
_atom_site_fract_y
_atom_site_fract_z
Rb1 0.0000 0.5000 0.2500
Mg1 0.0000 0.0000 0.0000
Ir1 0.0000 0.0000 0.4214
```

Material: SrMgB
Method: DFT, GGA-PBE
State: optimized geometry

## Properties
DFT total energy = -38.16 eV/cell
size of the total moment = 0.0 μB/f.u.
crystal system = orthorhombic
formation energy from the elements = 138 meV per atom
excess energy over the best structure of this formula in the dataset = 0.059 eV per formula unit

The structure in CIF format:
```
data_SrMgB
_cell_length_a 4.3278
_cell_length_b 5.5730
_cell_length_c 12.6354
_cell_angle_alpha 90.00
_cell_angle_beta 90.00
_cell_angle_gamma 90.00
_space_group_name_H-M_alt 'I m m 2'
_space_group_IT_number 44
loop_
_space_group_symop_operation_xyz
'x,y,z'
'-x,-y,z'
'-x,y,z'
'x,-y,z'
'x+1/2,y+1/2,z+1/2'
'-x+1/2,-y+1/2,z+1/2'
'-x+1/2,y+1/2,z+1/2'
'x+1/2,-y+1/2,z+1/2'
loop_
_atom_site_label
_atom_site_fract_x
_atom_site_fract_y
_atom_site_fract_z
Sr1 0.0000 0.0000 0.0000
Sr2 0.0000 0.5000 0.2175
Mg1 0.0000 0.0000 0.5137
Mg2 0.0000 0.5000 0.8113
B1 0.0000 0.3596 0.6315
```

Material: K4Nd3AlS8
Method: DFT, GGA-PBE
State: optimized geometry

## Properties
DFT total energy = -243.62 eV/cell
size of the total moment = 0.0 μB/f.u.
crystal system = trigonal
formation energy from raw total energies = -1.610 eV/atom

The structure in CIF format:
```
data_K4Nd3AlS8
_cell_length_a 8.1537
_cell_length_b 8.1537
_cell_length_c 22.1817
_cell_angle_alpha 90.00
_cell_angle_beta 90.00
_cell_angle_gamma 120.00
_space_group_name_H-M_alt 'R -3 m'
_space_group_IT_number 166
_space_group_name_Hall '-R 3 2"'
loop_
_atom_site_label
_atom_site_fract_x
_atom_site_fract_y
_atom_site_fract_z
K1 0.0000 0.0000 0.0000
K2 0.0000 0.5000 0.0000
Nd1 0.0000 0.5000 0.5000
Al1 0.0000 0.0000 0.5000
S1 0.0000 0.0000 0.2371
S2 0.0300 0.5150 0.2320
```

Material: Ba2IrCl
Method: DFT, GGA-PBE
State: optimized geometry

## Properties
DFT total energy = -70.38 eV/cell
size of the total moment = 0.0 μB/f.u.
crystal system = tetragonal
excess energy over the best structure of this formula in the dataset = 0.782 eV per formula unit
formation energy from raw total energies = -0.761 eV/atom

The structure in CIF format:
```
data_Ba2IrCl
_cell_length_a 7.0522
_cell_length_b 7.0522
_cell_length_c 14.1103
_cell_angle_alpha 90.00
_cell_angle_beta 90.00
_cell_angle_gamma 90.00
_space_group_name_H-M_alt 'I -4 2 d'
_space_group_IT_number 122
_space_group_name_Hall 'I -4 2bw'
loop_
_atom_site_label
_atom_site_fract_x
_atom_site_fract_y
_atom_site_fract_z
Ba1 0.2151 0.2500 0.1250
Ir1 0.0000 0.0000 0.0000
Cl1 0.0000 0.0000 0.5000
```

Material: TiHSe2
Method: DFT, GGA-PBE
State: optimized geometry

## Properties
DFT total energy = -73.32 eV/cell
size of the total moment = 0.0 μB/f.u.
crystal system = cubic
excess energy over the best structure of this formula in the dataset = 2.540 eV per formula unit

The structure in CIF format:
```
data_TiHSe2
_cell_length_a 6.2779
_cell_length_b 6.2779
_cell_length_c 6.2779
_cell_angle_alpha 90.00
_cell_angle_beta 90.00
_cell_angle_gamma 90.00
_space_group_name_H-M_alt 'F m -3 m'
_space_group_IT_number 225
_space_group_name_Hall '-F 4 2 3'
loop_
_atom_site_label
_atom_site_fract_x
_atom_site_fract_y
_atom_site_fract_z
Ti1 0.0000 0.0000 0.0000
H1 0.0000 0.0000 0.5000
Se1 0.2500 0.2500 0.2500
```

Material: AgH7Ir2
Method: DFT, GGA-PBE
State: optimized geometry

## Properties
DFT total energy = -85.41 eV/cell
size of the total moment = 0.0 μB/f.u.
crystal system = orthorhombic

The structure in CIF format:
```
data_AgH7Ir2
_cell_length_a 5.7941
_cell_length_b 8.2617
_cell_length_c 3.3799
_cell_angle_alpha 90.00
_cell_angle_beta 90.00
_cell_angle_gamma 90.00
_space_group_name_H-M_alt 'C m m m'
_space_group_IT_number 65
_space_group_name_Hall '-C 2 2'
loop_
_atom_site_label
_atom_site_fract_x
_atom_site_fract_y
_atom_site_fract_z
Ag1 0.0000 0.0000 0.0000
H1 0.0000 0.3311 0.0000
H2 0.0000 0.5000 0.5000
H3 0.2217 0.1317 0.5000
Ir1 0.0000 0.2836 0.5000
```